# 1
Compound: LiCaHoRu
Source: Alexandria
Functional: PBE-GGA
Structure: relaxed

Summary:
total magnetic moment	0.000	μB per atom
uncorrected energy	-4.501	eV per atom
D(E_F)	2.01	states/eV/cell
space group	F-43m

abc: 4.943 4.943 4.943
angles: 60.00 60.00 60.00
Atoms (fractional coordinates):
Li 0.000 0.000 0.000
Ca 0.250 0.250 0.250
Ho 0.750 0.750 0.750
Ru 0.500 0.500 0.500

---

# 2
Compound: LiCa3Ho3S8
Source: Alexandria
Functional: PBE-GGA
Structure: relaxed

Summary:
total magnetic moment	0.000	μB per atom
uncorrected energy	-5.618	eV per atom
formation energy without anion corrections	-45.51	kcal/mol of atoms
space group	R-3m

abc: 7.928 7.928 7.928
angles: 59.32 59.32 59.32
Atoms (fractional coordinates):
Li 0.000 0.000 0.000
Ca 0.000 0.000 0.500
Ca 0.000 0.500 0.000
Ca 0.500 0.000 0.000
Ho 0.000 0.500 0.500
Ho 0.500 0.000 0.500
Ho 0.500 0.500 0.000
S 0.244 0.244 0.745
S 0.244 0.745 0.244
S 0.253 0.253 0.253
S 0.255 0.756 0.756
S 0.745 0.244 0.244
S 0.747 0.747 0.747
S 0.756 0.255 0.756
S 0.756 0.756 0.255

---

# 3
Compound: LiCaHo2S4
Source: Alexandria
Functional: PBE-GGA
Structure: relaxed

Summary:
total magnetic moment	0.000	μB per atom
uncorrected energy	-5.602	eV per atom
D(E_F)	4.31	states/eV/cell
formation energy without anion corrections	-43.93	kcal/mol of atoms
space group	Cmcm

abc: 6.727 6.727 13.574
angles: 90.00 90.00 146.55
Atoms (fractional coordinates):
Li 0.150 0.850 0.750
Li 0.850 0.150 0.250
Ca 0.119 0.881 0.250
Ca 0.881 0.119 0.750
Ho 0.371 0.629 0.058
Ho 0.371 0.629 0.442
Ho 0.629 0.371 0.558
Ho 0.629 0.371 0.942
S 0.000 0.000 0.000
S 0.000 0.000 0.500
S 0.273 0.727 0.621
S 0.273 0.727 0.879
S 0.454 0.546 0.250
S 0.546 0.454 0.750
S 0.727 0.273 0.121
S 0.727 0.273 0.379

---

# 4
Compound: LiCa2HoSe4
Source: Alexandria
Functional: PBE-GGA
Structure: relaxed

Summary:
total magnetic moment	0.000	μB per atom
uncorrected energy	-4.887	eV per atom
formation energy without anion corrections	-42.27	kcal/mol of atoms
space group	P2/m

abc: 7.103 4.145 7.115
angles: 90.00 108.75 90.00
Atoms (fractional coordinates):
Li 0.000 0.000 0.000
Ca 0.000 0.500 0.500
Ca 0.500 0.000 0.500
Ho 0.500 0.500 0.000
Se 0.250 0.500 0.241
Se 0.253 0.000 0.763
Se 0.747 0.000 0.237
Se 0.750 0.500 0.759

---

# 5
Compound: LiCaHoSe3
Source: Alexandria
Functional: PBE-GGA
Structure: relaxed

Summary:
total magnetic moment	0.000	μB per atom
uncorrected energy	-4.891	eV per atom
formation energy without anion corrections	-39.96	kcal/mol of atoms
space group	P2_1/m

abc: 8.432 4.066 8.840
angles: 90.00 102.45 90.00
Atoms (fractional coordinates):
Li 0.085 0.250 0.084
Li 0.915 0.750 0.916
Ca 0.185 0.250 0.733
Ca 0.815 0.750 0.267
Ho 0.331 0.750 0.331
Ho 0.669 0.250 0.669
Se 0.104 0.250 0.370
Se 0.222 0.750 0.004
Se 0.430 0.750 0.667
Se 0.570 0.250 0.333
Se 0.778 0.250 0.996
Se 0.896 0.750 0.630

---

# 6
Compound: LiCa4Ho3Se8
Source: Alexandria
Functional: PBE-GGA
Structure: relaxed

Summary:
total magnetic moment	0.000	μB per atom
uncorrected energy	-5.085	eV per atom
D(E_F)	3.69	states/eV/cell
formation energy without anion corrections	-42.99	kcal/mol of atoms
space group	R-3m

abc: 8.253 8.253 8.253
angles: 59.72 59.72 59.72
Atoms (fractional coordinates):
Li 0.000 0.000 0.000
Ca 0.000 0.000 0.500
Ca 0.000 0.500 0.000
Ca 0.500 0.000 0.000
Ca 0.500 0.500 0.500
Ho 0.000 0.500 0.500
Ho 0.500 0.000 0.500
Ho 0.500 0.500 0.000
Se 0.246 0.246 0.748
Se 0.246 0.748 0.246
Se 0.252 0.252 0.252
Se 0.252 0.754 0.754
Se 0.748 0.246 0.246
Se 0.748 0.748 0.748
Se 0.754 0.252 0.754
Se 0.754 0.754 0.252

---

# 7
Compound: Li2CaHo2Si2
Source: Alexandria
Functional: PBE-GGA
Structure: relaxed

Summary:
total magnetic moment	0.000	μB per atom
uncorrected energy	-4.066	eV per atom
D(E_F)	3.07	states/eV/cell
formation energy without anion corrections	-8.67	kcal/mol of atoms
space group	R-3m

abc: 9.230 9.230 9.230
angles: 28.33 28.33 28.33
Atoms (fractional coordinates):
Li 0.094 0.094 0.094
Li 0.906 0.906 0.906
Ca 0.500 0.500 0.500
Ho 0.371 0.371 0.371
Ho 0.629 0.629 0.629
Si 0.246 0.246 0.246
Si 0.754 0.754 0.754

---

# 8
Compound: Li2CaHo2Sn2
Source: Alexandria
Functional: PBE-GGA
Structure: relaxed

Summary:
total magnetic moment	0.000	μB per atom
uncorrected energy	-3.741	eV per atom
D(E_F)	3.44	states/eV/cell
space group	R-3m

abc: 9.472 9.472 9.472
angles: 29.46 29.46 29.46
Atoms (fractional coordinates):
Li 0.091 0.091 0.091
Li 0.909 0.909 0.909
Ca 0.500 0.500 0.500
Ho 0.370 0.370 0.370
Ho 0.630 0.630 0.630
Sn 0.244 0.244 0.244
Sn 0.756 0.756 0.756

---

What is the formula in the eighth record? Li2CaHo2Sn2